# 1
First-principles (PBE) data for crystalline Ca2La4Bi3N2 at its relaxed geometry, as listed in Alexandria.

Unit cell a=4.9837 b=4.9837 c=26.3929 alpha=90.00 beta=90.00 gamma=90.00
Space group I4/mmm (No. 139)
Unique sites:
Ca (0.0000, 0.0000, 0.1948)
La (0.0000, 0.5000, 0.0890)
Bi (0.0000, 0.0000, 0.3194)
Bi (0.0000, 0.0000, 0.5000)
N (0.0000, 0.0000, 0.1043)

Values from the calculation:
- Fermi-level density of states (states/eV per cell) = 7.601
- formation energy without anion corrections (eV per atom) = -1.059
- final energy (eV/atom) = -5.787

***

# 2
First-principles (PBE) data for crystalline MgBe at its relaxed geometry, as listed in Alexandria.

Unit cell a=6.0698 b=6.8100 c=2.8719 alpha=90.00 beta=90.00 gamma=90.00
Space group Cmmm (No. 65)
Unique sites:
Mg (0.0000, 0.2133, 0.0000)
Be (0.1848, 0.5000, 0.5000)

Values from the calculation:
- formation energy from the elements (eV per atom) = 0.33
- Fermi-level density of states (states/eV per cell) = 2.503
- final energy (eV/atom) = -2.326
- polymorph energy (0 for the lowest one) (eV/atom) = 0.122

***

# 3
First-principles (PBE) data for crystalline SrSi2Ru2 at its relaxed geometry, as listed in Alexandria.

Unit cell a=7.4695 b=7.4695 c=2.8953 alpha=90.00 beta=90.00 gamma=90.00
Space group P4/mbm (No. 127)
Unique sites:
Sr (0.0000, 0.0000, 0.0000)
Si (0.1415, 0.3585, 0.5000)
Ru (0.1408, 0.6408, 0.0000)

Values from the calculation:
- Fermi-level density of states (states/eV per cell) = 3.116
- formation energy without anion corrections (eV per atom) = -0.255
- final energy (eV/atom) = -6.471